Entry 1:
## La2EuEr (PBE)

Data for a relaxed structure of La2EuEr.

POSCAR file:
```
La2EuEr
1.0
-4.6043 -1.9550 3.1420
-0.9375 -5.8046 0.5673
0.8866 -2.6398 5.2096
Er La Eu
1 2 1
direct
0.5000 0.5000 0.5000 Er
0.2500 0.2500 0.2500 La
0.7500 0.7500 0.7500 La
0.0000 0.0000 0.0000 Eu
```

Computed properties:
ΔH_f (0 K)   0.11 eV per atom
DOS(E_F)   6.33 states/eV per cell
Raw total energy   -6.06 eV/atom

Entry 2:
## Nd4Te2PC (PBE)

Data for a relaxed structure of Nd4Te2PC.

POSCAR file:
```
Nd4Te2PC
1.0
-1.4871 1.3880 3.5976
4.4720 -4.4066 3.5487
3.5925 6.6565 -1.0831
Nd P Te C
4 1 2 1
direct
0.0000 0.7177 0.2003 Nd
0.0000 0.2823 0.7997 Nd
0.5000 0.2549 0.2057 Nd
0.5000 0.7451 0.7943 Nd
0.0000 0.0000 0.0000 P
0.0000 0.5000 0.5000 Te
0.5000 0.0000 0.5000 Te
0.5000 0.5000 0.0000 C
```

Computed properties:
DOS(E_F)   2.25 states/eV per cell
Raw total energy   -6.15 eV/atom

Entry 3:
## Ca6ZnIn (PBE)

Data for a relaxed structure of Ca6ZnIn.

POSCAR file:
```
Ca6ZnIn
1.0
-4.0000 1.0136 -3.5354
1.2108 -4.5693 -2.6799
-7.3705 -6.5281 2.2916
Zn Ca In
1 6 1
direct
0.0000 0.0000 0.0000 Zn
0.2513 0.2513 0.4974 Ca
0.4029 0.9029 0.1942 Ca
0.0971 0.5971 0.8058 Ca
0.7487 0.7487 0.5026 Ca
0.9029 0.4029 0.1942 Ca
0.5971 0.0971 0.8058 Ca
0.5000 0.5000 0.0000 In
```

Computed properties:
ΔH_f (0 K)   -0.19 eV per atom
DOS(E_F)   5.80 states/eV per cell
Raw total energy   -2.19 eV/atom

Entry 4:
## La5Pr12Th2 (PBE)

Data for a relaxed structure of La5Pr12Th2.

POSCAR file:
```
La5Pr12Th2
1.0
-6.1493 -3.6612 1.0317
3.2846 -3.3832 7.5712
-2.4540 11.7012 1.5591
Pr La Th
12 5 2
direct
0.9478 0.7928 0.4030 Pr
0.0522 0.2072 0.5970 Pr
0.1493 0.6169 0.7866 Pr
0.5463 0.7045 0.0926 Pr
0.4552 0.7928 0.4030 Pr
0.6374 0.6169 0.7866 Pr
0.3626 0.3831 0.2134 Pr
0.8507 0.3831 0.2134 Pr
0.5448 0.2072 0.5970 Pr
0.4537 0.2955 0.9074 Pr
0.8649 0.9596 0.7298 Pr
0.1351 0.0404 0.2702 Pr
0.3505 0.9039 0.7010 La
0.6495 0.0961 0.2990 La
0.7523 0.5088 0.5047 La
0.2477 0.4912 0.4953 La
0.0000 0.5000 0.0000 La
0.7474 0.0000 0.0000 Th
0.2526 0.0000 0.0000 Th
```

Computed properties:
ΔH_f (0 K)   0.14 eV per atom
DOS(E_F)   31.10 states/eV per cell
Raw total energy   -4.96 eV/atom

Entry 5:
## PaCo4Ge2 (PBE)

Data for a relaxed structure of PaCo4Ge2.

POSCAR file:
```
PaCo4Ge2
1.0
-0.4493 -1.3127 3.6529
2.2199 -5.4033 -1.6686
15.1546 5.0861 3.6917
Pa Co Ge
4 16 8
direct
0.2500 0.5172 0.8645 Pa
0.7500 0.4828 0.1355 Pa
0.2500 0.9828 0.3645 Pa
0.7500 0.0172 0.6355 Pa
0.2500 0.7913 0.1874 Co
0.2500 0.5197 0.4204 Co
0.7500 0.8461 0.4684 Co
0.7500 0.0197 0.0796 Co
0.2500 0.2030 0.1792 Co
0.2500 0.9803 0.9204 Co
0.2500 0.1539 0.5316 Co
0.2500 0.3461 0.0316 Co
0.2500 0.2970 0.6792 Co
0.2500 0.7087 0.6874 Co
0.7500 0.2913 0.3126 Co
0.7500 0.4803 0.5796 Co
0.7500 0.7970 0.8208 Co
0.7500 0.7030 0.3208 Co
0.7500 0.2087 0.8126 Co
0.7500 0.6539 0.9684 Co
0.2500 0.7806 0.0432 Ge
0.2500 0.0066 0.7780 Ge
0.2500 0.7194 0.5432 Ge
0.7500 0.2806 0.4568 Ge
0.7500 0.2194 0.9568 Ge
0.7500 0.5066 0.7220 Ge
0.7500 0.9934 0.2220 Ge
0.2500 0.4934 0.2780 Ge
```

Computed properties:
ΔH_f (0 K)   -0.32 eV per atom
DOS(E_F)   24.75 states/eV per cell
Raw total energy   -7.06 eV/atom